Entry 1:
{"formula": "LiLaSiPt", "functional": "PBE", "state": "optimized geometry", "magmom_total_mub_per_cell": 0.0, "volume_a3_per_cell": 73.5, "space_group": "F-43m", "final_energy_ev_per_cell": -20.73, "lattice_angstrom": [[-2.4437, -3.8757, -1.0538], [-4.6934, 0.1669, -0.2175], [-2.1747, -0.3510, -4.1533]], "species": ["La", "Si", "Li", "Pt"], "frac_coords": [[0.0000, 0.0000, 0.0000], [0.2500, 0.2500, 0.2500], [0.7500, 0.7500, 0.7500], [0.5000, 0.5000, 0.5000]]}

---

Entry 2:
{"formula": "Cu4Ag", "functional": "PBE", "state": "optimized geometry", "volume_a3_per_cell": 130.4, "delta_e_f_kcal_per_mol_atoms": 1.46, "space_group": "C2/m", "final_energy_ev_per_cell": -34.75, "lattice_angstrom": [[5.5898, -1.3446, 0.0000], [5.5898, 1.3446, 0.0000], [-1.5666, 0.0000, 8.6738]], "species": ["Cu", "Cu", "Cu", "Cu", "Cu", "Cu", "Cu", "Cu", "Ag", "Ag"], "frac_coords": [[0.9493, 0.9493, 0.8620], [0.6533, 0.6533, 0.9523], [0.2601, 0.2601, 0.7604], [0.1592, 0.1592, 0.4419], [0.8408, 0.8408, 0.5581], [0.7399, 0.7399, 0.2396], [0.3467, 0.3467, 0.0477], [0.0507, 0.0507, 0.1380], [0.5537, 0.5537, 0.6551], [0.4463, 0.4463, 0.3449]]}

---

Entry 3:
{"formula": "GdNbPt", "functional": "PBE", "state": "optimized geometry", "magmom_total_mub_per_cell": 0.0, "volume_a3_per_cell": 71.2, "delta_e_f_kcal_per_mol_atoms": -3.44, "space_group": "F-43m", "final_energy_ev_per_cell": -21.25, "lattice_angstrom": [[0.0000, 3.2893, 3.2893], [3.2893, 0.0000, 3.2893], [3.2893, 3.2893, 0.0000]], "species": ["Gd", "Nb", "Pt"], "frac_coords": [[0.2500, 0.2500, 0.2500], [0.7500, 0.7500, 0.7500], [0.0000, 0.0000, 0.0000]]}

---

Entry 4:
{"formula": "Pr2GdMg3Pt2Au", "functional": "PBE", "state": "optimized geometry", "magmom_total_mub_per_cell": 0.0, "volume_a3_per_cell": 205.1, "space_group": "Amm2", "final_energy_ev_per_cell": -41.64, "lattice_angstrom": [[4.1159, 0.0000, 0.0000], [0.0000, 6.5599, 3.7974], [0.0000, -6.5599, 3.7974]], "species": ["Au", "Mg", "Mg", "Mg", "Pr", "Pr", "Pt", "Pt", "Gd"], "frac_coords": [[0.0000, 0.9949, 0.9949], [0.5000, 0.7524, 0.9966], [0.5000, 0.9966, 0.7524], [0.5000, 0.2489, 0.2489], [0.0000, 0.9996, 0.4176], [0.0000, 0.4176, 0.9996], [0.5000, 0.6646, 0.3413], [0.5000, 0.3413, 0.6646], [0.0000, 0.5841, 0.5841]]}